First-principles (PBE) data for a relaxed LiTcAg crystal, as listed in Alexandria via LeMat-Bulk.

Output
energy relative to the elements	0.291	eV/atom
DFT total energy	-4.753	eV per atom
D(E_F)	3.30	states/eV/cell
total magnetization	0.000	μB per cell

Cell: 2.619 2.619 13.436 Å, 90.00 90.00 90.00°
Space group I4mm (No. 107)
Unique sites:
Li: 0.000 0.000 0.000
Tc: 0.000 0.000 0.662
Ag: 0.000 0.000 0.335